1.
DFT (PBE-GGA) results for a relaxed structure of TlCoTcNi.

a b c (Å): 4.356 4.356 4.356
angles (deg): 60.00 60.00 60.00
Last column: magnetic moment on the atom in μB.
Atoms (fractional coordinates):
Co 0.750 0.750 0.750  1.35
Tc 0.500 0.500 0.500  1.45
Tl 0.000 0.000 0.000  -0.03
Ni 0.250 0.250 0.250  0.36

Output
Polymorph energy (0 for the lowest one), kJ per mole of atoms: 0.00
Space group: F-43m



2.
DFT (PBE-GGA) results for a relaxed structure of ZnCoTcNi.

a b c (Å): 4.106 4.106 4.106
angles (deg): 60.00 60.00 60.00
Atoms (fractional coordinates):
Co 0.500 0.500 0.500
Ni 0.750 0.750 0.750
Zn 0.000 0.000 0.000
Tc 0.250 0.250 0.250

Output
Polymorph energy (0 for the lowest one), kJ per mole of atoms: 0.00
Space group: F-43m
Energy of formation, eV per atom: 0.11